# 1
! Ba2MgMn, relaxed, DFT PBEsol; values from VASP
&SYSTEM
  ibrav = 0, nat = 4, ntyp = 3
/
ATOMIC_SPECIES
Ba 137.33 Ba.upf
Mg 24.30 Mg.upf
Mn 54.94 Mn.upf
CELL_PARAMETERS angstrom
0.000 3.991 3.991
3.991 0.000 3.991
3.991 3.991 0.000
ATOMIC_POSITIONS angstrom
Ba 0.000 0.000 0.000
Ba 1.995 1.995 1.995
Mg 5.986 5.986 5.986
Mn 3.991 3.991 3.991
! Crystal system   cubic
! SG   F-43m, No. 216
! V   31.78 Å³ per atom
! Electronic total energy   -3.490 eV per atom
! ΔH_f (0 K)   0.454 eV/atom
! Calculated density   4.6 g cm⁻³

=====

# 2
! LaAs2Rh, relaxed, DFT PBEsol; values from VASP
&SYSTEM
  ibrav = 0, nat = 4, ntyp = 3
/
ATOMIC_SPECIES
La 138.91 La.upf
As 74.92 As.upf
Rh 102.91 Rh.upf
CELL_PARAMETERS angstrom
4.416 0.000 0.000
0.000 4.430 0.000
-0.204 0.000 4.517
ATOMIC_POSITIONS angstrom
La 0.000 0.000 0.000
As 1.947 2.215 3.907
As 2.029 0.000 2.292
Rh 2.844 2.215 1.629
! Crystal system   monoclinic
! SG   Pm, No. 6
! V   22.09 Å³ per atom
! Electronic total energy   -6.680 eV per atom
! ΔH_f (0 K)   -0.755 eV/atom
! Calculated density   7.4 g cm⁻³

=====

# 3
! BaZnTeCl2O3, relaxed, DFT PBEsol; values from VASP
&SYSTEM
  ibrav = 0, nat = 64, ntyp = 5
/
ATOMIC_SPECIES
Ba 137.33 Ba.upf
Zn 65.41 Zn.upf
Te 127.60 Te.upf
Cl 35.45 Cl.upf
O 16.00 O.upf
CELL_PARAMETERS angstrom
12.207 0.000 0.000
0.000 5.598 0.000
0.000 0.000 19.374
ATOMIC_POSITIONS angstrom
Ba 0.747 1.399 4.050
Ba 1.956 1.399 12.923
Ba 4.147 4.198 3.236
Ba 5.357 4.198 13.737
Ba 6.850 1.399 5.637
Ba 8.060 1.399 16.138
Ba 10.251 4.198 6.451
Ba 11.460 4.198 15.324
Zn 0.259 1.399 7.867
Zn 0.868 4.198 1.405
Zn 5.236 1.399 11.092
Zn 5.845 4.198 17.554
Zn 6.362 1.399 1.820
Zn 6.971 4.198 8.282
Zn 11.339 1.399 17.969
Zn 11.948 4.198 11.507
Te 1.840 4.198 6.513
Te 2.805 1.399 0.891
Te 3.298 4.198 10.578
Te 4.263 1.399 16.200
Te 7.944 4.198 3.174
Te 8.909 1.399 8.796
Te 9.402 4.198 18.483
Te 10.367 1.399 12.861
Cl 0.653 4.198 18.569
Cl 0.749 1.399 16.371
Cl 1.648 1.399 9.592
Cl 2.350 4.198 14.744
Cl 3.753 1.399 5.057
Cl 4.455 4.198 19.278
Cl 5.354 4.198 6.684
Cl 5.450 1.399 8.882
Cl 6.757 4.198 10.492
Cl 6.853 1.399 12.689
Cl 7.752 1.399 0.095
Cl 8.454 4.198 14.317
Cl 9.857 1.399 4.630
Cl 10.559 4.198 9.782
Cl 11.458 4.198 3.002
Cl 11.554 1.399 0.805
O 0.523 2.827 6.547
O 0.523 5.569 6.547
O 1.659 4.198 11.477
O 1.991 4.198 4.676
O 2.112 0.029 1.996
O 2.112 2.770 1.996
O 3.992 2.828 11.683
O 3.992 5.569 11.683
O 4.112 1.399 14.363
O 4.445 1.399 1.790
O 5.580 0.029 16.234
O 5.580 2.770 16.234
O 6.627 2.827 3.140
O 6.627 5.569 3.140
O 7.762 4.198 17.584
O 8.095 4.198 5.011
O 8.215 0.029 7.691
O 8.215 2.770 7.691
O 10.095 2.828 17.377
O 10.095 5.569 17.377
O 10.216 1.399 14.698
O 10.548 1.399 7.897
O 11.684 0.029 12.827
O 11.684 2.770 12.827
! Formation energy (no corrections)   -1.705 eV per atom
! Crystal system   orthorhombic
! SG   Pnma, No. 62
! V   20.69 Å³ per atom
! Electronic total energy   -5.082 eV per atom
! Calculated density   4.5 g cm⁻³

=====

# 4
! Zr5Al3, relaxed, DFT PBEsol; values from VASP
&SYSTEM
  ibrav = 0, nat = 16, ntyp = 2
/
ATOMIC_SPECIES
Zr 91.22 Zr.upf
Al 26.98 Al.upf
CELL_PARAMETERS angstrom
8.268 0.000 0.000
-4.134 7.160 0.000
0.000 0.000 5.421
ATOMIC_POSITIONS angstrom
Zr -0.983 1.703 1.355
Zr -3.151 5.457 4.066
Zr 1.966 0.000 1.355
Zr 0.983 1.703 4.066
Zr 0.000 4.773 0.000
Zr 0.000 4.773 2.711
Zr 4.134 2.387 0.000
Zr 4.134 2.387 2.711
Zr 6.302 0.000 4.066
Zr 3.151 5.457 1.355
Al -1.628 2.819 4.066
Al -2.506 4.341 1.355
Al 3.255 0.000 4.066
Al 1.628 2.819 1.355
Al 5.013 0.000 1.355
Al 2.506 4.341 4.066
! Distance to the lowest polymorph of the same formula   18 meV/atom
! Crystal system   hexagonal
! SG   P6_3/mcm, No. 193
! V   20.06 Å³ per atom
! Electronic total energy   -7.563 eV per atom
! ΔH_f (0 K)   -0.348 eV/atom
! Calculated density   5.6 g cm⁻³

=====

# 5
! KCa2Te, relaxed, DFT PBEsol; values from VASP
&SYSTEM
  ibrav = 0, nat = 4, ntyp = 3
/
ATOMIC_SPECIES
K 39.10 K.upf
Ca 40.08 Ca.upf
Te 127.60 Te.upf
CELL_PARAMETERS angstrom
4.142 0.000 0.000
0.000 4.142 0.000
0.000 0.000 9.227
ATOMIC_POSITIONS angstrom
K 0.000 0.000 0.000
Ca 0.000 0.000 3.607
Ca 2.071 2.071 6.025
Te 2.071 2.071 2.435
! Formation energy (no corrections)   -0.635 eV per atom
! Crystal system   tetragonal
! SG   P4mm, No. 99
! V   39.56 Å³ per atom
! Electronic total energy   -2.866 eV per atom
! Calculated density   2.6 g cm⁻³

=====

# 6
! K2MgSc, relaxed, DFT PBEsol; values from VASP
&SYSTEM
  ibrav = 0, nat = 4, ntyp = 3
/
ATOMIC_SPECIES
K 39.10 K.upf
Mg 24.30 Mg.upf
Sc 44.96 Sc.upf
CELL_PARAMETERS angstrom
3.466 -6.598 0.000
3.466 6.598 0.000
-1.531 0.000 3.070
ATOMIC_POSITIONS angstrom
K 1.733 3.299 0.000
K 1.733 -3.299 0.000
Mg -0.765 0.000 1.535
Sc 2.700 0.000 1.535
! Crystal system   monoclinic
! SG   C2/m, No. 12
! V   35.10 Å³ per atom
! Electronic total energy   -2.127 eV per atom
! ΔH_f (0 K)   0.520 eV/atom
! Calculated density   1.7 g cm⁻³

=====

# 7
! LiCaTlMo2, relaxed, DFT PBEsol; values from VASP
&SYSTEM
  ibrav = 0, nat = 5, ntyp = 4
/
ATOMIC_SPECIES
Li 6.94 Li.upf
Ca 40.08 Ca.upf
Tl 204.38 Tl.upf
Mo 95.94 Mo.upf
CELL_PARAMETERS angstrom
4.639 0.000 0.000
0.000 4.639 0.000
0.000 0.000 5.507
ATOMIC_POSITIONS angstrom
Li 0.000 0.000 0.000
Ca 2.320 2.320 2.753
Tl 2.320 2.320 0.000
Mo 0.000 2.320 2.753
Mo 2.320 0.000 2.753
! Crystal system   tetragonal
! SG   P4/mmm, No. 123
! V   23.70 Å³ per atom
! Electronic total energy   -3.919 eV per atom
! ΔH_f (0 K)   2.134 eV/atom
! Calculated density   6.2 g cm⁻³

=====

# 8
! ZrAlF2, relaxed, DFT PBEsol; values from VASP
&SYSTEM
  ibrav = 0, nat = 4, ntyp = 3
/
ATOMIC_SPECIES
Zr 91.22 Zr.upf
Al 26.98 Al.upf
F 19.00 F.upf
CELL_PARAMETERS angstrom
1.828 1.055 5.079
-1.828 1.055 5.079
0.000 -2.110 5.079
ATOMIC_POSITIONS angstrom
Zr 0.000 0.000 0.000
Al 0.000 0.000 7.619
F 0.000 0.000 2.165
F 0.000 0.000 13.073
! Formation energy (no corrections)   -1.514 eV per atom
! Distance to the lowest polymorph of the same formula   388 meV/atom
! Crystal system   trigonal
! SG   R-3m, No. 166
! V   14.69 Å³ per atom
! Electronic total energy   -5.773 eV per atom
! Calculated density   4.4 g cm⁻³

=====

- electronic total energy of number 1 (Ba2MgMn)?
  -3.490 eV per atom

=====

- V of number 4 (Zr5Al3)?
  20.06 Å³ per atom